Pu3VN6: optimized geometry, PBE.

Properties
- Uncorrected energy: -11.304 eV/atom
- Energy relative to the elements, uncorrected: -1.0976 eV/atom

a = 5.372 Å, b = 7.148 Å, c = 7.148 Å
α = 103.14°, β = 90.00°, γ = 90.00°
Element x y z (fractional)
Pu 0.936 0.605 0.395
Pu 0.968 0.696 0.913
Pu 0.968 0.087 0.304
Pu 0.468 0.304 0.087
Pu 0.436 0.395 0.605
Pu 0.468 0.913 0.696
V 0.512 0.804 0.196
V 0.012 0.196 0.804
N 0.156 0.052 0.948
N 0.683 0.888 0.418
N 0.708 0.328 0.356
N 0.656 0.948 0.052
N 0.183 0.112 0.582
N 0.663 0.210 0.790
N 0.683 0.582 0.112
N 0.183 0.418 0.888
N 0.208 0.356 0.328
N 0.708 0.644 0.672
N 0.163 0.790 0.210
N 0.208 0.672 0.644